# Dy3HoTm3

A relaxed Dy3HoTm3 crystal (GGA-PBE, Alexandria).

POSCAR file:
```
Dy3HoTm3
1.0
-3.917 -3.218 -3.387
0.895 -5.970 -0.850
-8.614 -5.830 10.015
Tm Dy Ho
6 6 2
Direct
0.400 0.066 0.802
0.600 0.934 0.198
0.934 0.268 0.198
0.066 0.732 0.802
0.268 0.600 0.198
0.732 0.400 0.802
0.537 0.199 0.397
0.867 0.537 0.397
0.801 0.133 0.603
0.463 0.801 0.603
0.133 0.463 0.603
0.199 0.867 0.397
0.667 0.667 0.000
0.333 0.333 0.000
```

Formation enthalpy at 0 K ... 149 meV per atom
Electronic total energy ... -4.394 eV/atom
Total moment ... 0.00 μB/cell
Distance to the lowest polymorph of the same formula ... 1.01 eV per formula unit
DOS at the Fermi energy ... 9.68 states/eV/f.u.